VASP calculation (PBE) on a geometry-optimized KCdAgHg structure.

Output
The spin magnetization comes out at 0.0 Bohr magnetons per cell. The total energy comes out at -1.2850 eV/atom.

The structure in CIF format:
```
data_KCdAgHg
_symmetry_space_group_name_H-M 'F -4 3 m'
_symmetry_Int_Tables_number 216
_symmetry_space_group_name_Hall 'F -4 2 3'
_cell_length_a 7.592
_cell_length_b 7.592
_cell_length_c 7.592
_cell_angle_alpha 90.00
_cell_angle_beta 90.00
_cell_angle_gamma 90.00
loop_
_atom_site_label
_atom_site_fract_x
_atom_site_fract_y
_atom_site_fract_z
K1 0.000 0.000 0.000
Cd1 0.000 0.000 0.500
Ag1 0.250 0.250 0.250
Hg1 0.250 0.250 0.750
```